Entry 1:
An optimized crystal structure of Mg2PPb, computed with PBE.

abc: 4.4011 3.8956 5.5827
angles: 90.00 111.67 90.00
Atoms (fractional coordinates):
Mg  0.0000  0.0000  0.0000
Mg  0.0000  0.5000  0.5000
P  0.5000  0.0000  0.5000
Pb  0.5000  0.5000  0.0000



Entry 2:
An optimized crystal structure of RbVFe2I8, computed with PBE.

abc: 7.1826 7.1826 10.5452
angles: 95.55 95.55 68.47
Atoms (fractional coordinates):
Rb  0.0000  0.0000  0.0000
V  0.0000  0.0000  0.5000
Fe  0.3803  0.3803  0.7047
Fe  0.6197  0.6197  0.2953
I  0.2256  0.7364  0.3040
I  0.2359  0.2359  0.4998
I  0.2636  0.7744  0.6960
I  0.3127  0.3127  0.9254
I  0.6873  0.6873  0.0746
I  0.7364  0.2256  0.3040
I  0.7641  0.7641  0.5002
I  0.7744  0.2636  0.6960

Output
The calculation puts the uncorrected formation energy at -0.41 eV per atom.



Result set for final energy: -12.45; -44.37 eV for the cell shown, one per record in the order listed.
Result set for density of states at the Fermi level: 0.33; 1.41 states/eV per atom, one per record in the order listed.
Result set for calculated volume: 89.0; 502.6 Å³/f.u., one per record in the order listed.